(1)
Density functional theory data (PBE-GGA) for a relaxed structure of NpVSb2.

Cell: 3.183 3.183 31.277 Å, 90.00 90.00 120.00°
Fractional positions:
Np  0.000  0.000  0.000
Np  0.333  0.667  0.667
Np  0.667  0.333  0.333
V  0.000  0.000  0.500
V  0.333  0.667  0.167
V  0.667  0.333  0.833
Sb  0.000  0.000  0.102
Sb  0.000  0.000  0.898
Sb  0.333  0.667  0.565
Sb  0.333  0.667  0.768
Sb  0.667  0.333  0.232
Sb  0.667  0.333  0.435

Calculated values
Energy relative to the lowest polymorph listed for this composition   22.6 kJ/mol of atoms
Space-group type   R-3m, No. 166
Calculated volume   22.9 Å³/atom
E_form (uncorrected)   262 meV per atom

(2)
Density functional theory data (PBE-GGA) for a relaxed structure of LiInRe2.

Cell: 4.287 3.144 4.660 Å, 90.00 92.13 90.00°
Fractional positions:
Li  0.000  0.000  0.000
In  0.500  0.500  0.000
Re  0.000  0.500  0.500
Re  0.500  0.000  0.500

Calculated values
Space-group type   P2/m, No. 10
Calculated volume   15.7 Å³/atom
ΔH_f (0 K)   7.79 kcal/mol of atoms

(3)
Density functional theory data (PBE-GGA) for a relaxed structure of ScZn3As.

Cell: 5.131 5.131 5.131 Å, 90.00 90.00 90.00°
Fractional positions:
Sc  0.000  0.000  0.000
Zn  0.000  0.000  0.500
Zn  0.000  0.500  0.000
Zn  0.500  0.000  0.000
As  0.500  0.500  0.500

Calculated values
Energy relative to the lowest polymorph listed for this composition   52.4 kJ/mol of atoms
Space-group type   Pm-3m, No. 221
Calculated volume   27.0 Å³/atom
ΔH_f (0 K)   21.78 kcal/mol of atoms

(4)
Density functional theory data (PBE-GGA) for a relaxed structure of Cu2B2Rh5.

Cell: 7.671 7.671 5.559 Å, 90.00 90.00 42.56°
Fractional positions:
Cu  0.234  0.234  0.000
Cu  0.266  0.266  0.500
Cu  0.734  0.734  0.500
Cu  0.766  0.766  0.000
B  0.117  0.883  0.618
B  0.383  0.617  0.118
B  0.617  0.383  0.882
B  0.883  0.117  0.382
Rh  0.000  0.000  0.000
Rh  0.061  0.708  0.323
Rh  0.208  0.561  0.823
Rh  0.292  0.939  0.323
Rh  0.439  0.792  0.823
Rh  0.500  0.500  0.500
Rh  0.561  0.208  0.177
Rh  0.708  0.061  0.677
Rh  0.792  0.439  0.177
Rh  0.939  0.292  0.677

Calculated values
Space-group type   Cmce, No. 64
Calculated volume   12.3 Å³/atom
ΔH_f (0 K)   -1.02 kcal/mol of atoms

(5)
Density functional theory data (PBE-GGA) for a relaxed structure of CaY2.

Cell: 3.640 3.640 9.132 Å, 90.00 90.00 120.00°
Fractional positions:
Ca  0.000  0.000  0.000
Y  0.333  0.667  0.653
Y  0.667  0.333  0.347

Calculated values
Energy relative to the lowest polymorph listed for this composition   0.4 kJ/mol of atoms
Space-group type   P-3m1, No. 164
Calculated volume   34.9 Å³/atom
ΔH_f (0 K)   1.66 kcal/mol of atoms

(6)
Density functional theory data (PBE-GGA) for a relaxed structure of LaY2Be2.

Cell: 7.192 7.192 4.548 Å, 90.00 90.00 90.00°
Fractional positions:
La  0.000  0.000  0.000
La  0.500  0.500  0.000
Y  0.168  0.332  0.500
Y  0.332  0.832  0.500
Y  0.668  0.168  0.500
Y  0.832  0.668  0.500
Be  0.105  0.605  0.000
Be  0.395  0.105  0.000
Be  0.605  0.895  0.000
Be  0.895  0.395  0.000

Calculated values
Space-group type   P4/mbm, No. 127
Calculated volume   23.5 Å³/atom
ΔH_f (0 K)   2.49 kcal/mol of atoms

(7)
Density functional theory data (PBE-GGA) for a relaxed structure of LaSc2Cu2.

Cell: 4.843 4.843 10.086 Å, 90.00 90.00 90.00°
Fractional positions:
La  0.000  0.000  0.000
La  0.500  0.500  0.500
Sc  0.000  0.000  0.346
Sc  0.000  0.000  0.654
Sc  0.500  0.500  0.154
Sc  0.500  0.500  0.846
Cu  0.000  0.500  0.250
Cu  0.000  0.500  0.750
Cu  0.500  0.000  0.250
Cu  0.500  0.000  0.750

Calculated values
Energy relative to the lowest polymorph listed for this composition   15.4 kJ/mol of atoms
Space-group type   I4/mmm, No. 139
Calculated volume   23.7 Å³/atom
ΔH_f (0 K)   1.22 kcal/mol of atoms

(8)
Density functional theory data (PBE-GGA) for a relaxed structure of Li2Ca2Sc.

Cell: 9.026 9.026 3.490 Å, 90.00 90.00 90.00°
Fractional positions:
Li  0.157  0.343  0.000
Li  0.343  0.843  0.000
Li  0.657  0.157  0.000
Li  0.843  0.657  0.000
Ca  0.144  0.644  0.500
Ca  0.356  0.144  0.500
Ca  0.644  0.856  0.500
Ca  0.856  0.356  0.500
Sc  0.000  0.000  0.500
Sc  0.500  0.500  0.500

Calculated values
Energy relative to the lowest polymorph listed for this composition   8.7 kJ/mol of atoms
Space-group type   P4/mbm, No. 127
Calculated volume   28.4 Å³/atom
ΔH_f (0 K)   6.35 kcal/mol of atoms

(9)
Density functional theory data (PBE-GGA) for a relaxed structure of Ac3Ga2Ni4.

Cell: 5.807 5.807 8.548 Å, 99.17 99.17 42.92°
Fractional positions:
Ac  0.000  0.000  0.000
Ac  0.377  0.377  0.620
Ac  0.623  0.623  0.380
Ga  0.322  0.322  0.209
Ga  0.678  0.678  0.791
Ni  0.088  0.088  0.643
Ni  0.257  0.257  0.915
Ni  0.743  0.743  0.085
Ni  0.912  0.912  0.357

Calculated values
Space-group type   C2/m, No. 12
Calculated volume   21.5 Å³/atom
ΔH_f (0 K)   -9.75 kcal/mol of atoms

(10)
Density functional theory data (PBE-GGA) for a relaxed structure of KNa2BiCl.

Cell: 5.345 5.345 5.897 Å, 90.00 90.00 90.00°
Fractional positions:
K  0.000  0.000  0.000
Na  0.000  0.500  0.500
Na  0.500  0.000  0.500
Bi  0.500  0.500  0.000
Cl  0.000  0.000  0.500

Calculated values
Space-group type   P4/mmm, No. 123
Calculated volume   33.7 Å³/atom
E_form (uncorrected)   -759 meV per atom

(11)
Density functional theory data (PBE-GGA) for a relaxed structure of CoSe2Br.

Cell: 3.913 3.913 5.419 Å, 90.00 90.00 90.00°
Fractional positions:
Co  0.000  0.000  0.000
Se  0.000  0.000  0.500
Se  0.500  0.500  0.000
Br  0.500  0.500  0.500

Calculated values
Energy relative to the lowest polymorph listed for this composition   67.1 kJ/mol of atoms
Space-group type   P4/mmm, No. 123
Calculated volume   20.7 Å³/atom
E_form (uncorrected)   489 meV per atom

(12)
Density functional theory data (PBE-GGA) for a relaxed structure of AlNiRh14.

Cell: 5.414 5.414 7.671 Å, 90.00 90.00 90.00°
Fractional positions:
Al  0.000  0.000  0.000
Ni  0.500  0.500  0.000
Rh  0.000  0.000  0.500
Rh  0.000  0.500  0.000
Rh  0.000  0.500  0.500
Rh  0.251  0.251  0.249
Rh  0.251  0.251  0.751
Rh  0.251  0.749  0.249
Rh  0.251  0.749  0.751
Rh  0.500  0.000  0.000
Rh  0.500  0.000  0.500
Rh  0.500  0.500  0.500
Rh  0.749  0.251  0.249
Rh  0.749  0.251  0.751
Rh  0.749  0.749  0.249
Rh  0.749  0.749  0.751

Calculated values
Space-group type   P4/mmm, No. 123
Calculated volume   14.1 Å³/atom
ΔH_f (0 K)   -2.25 kcal/mol of atoms

Number 1: electronic total energy -7.314 eV per atom. Number 2: electronic total energy -7.050 eV per atom. Number 3: electronic total energy -2.016 eV per atom. Number 4: electronic total energy -6.523 eV per atom. Number 5: electronic total energy -4.905 eV per atom. Number 6: electronic total energy -4.954 eV per atom. Number 7: electronic total energy -5.104 eV per atom. Number 8: electronic total energy -2.557 eV per atom. Number 9: electronic total energy -5.034 eV per atom. Number 10: electronic total energy -2.652 eV per atom. Number 11: electronic total energy -3.448 eV per atom. Number 12: electronic total energy -7.125 eV per atom.